Entry from Alexandria: crystalline Sm8SiSe4S3 at its relaxed geometry (PBE).

```
Sm8SiSe4S3
1.0
-4.818 -1.272 6.497
3.207 -7.622 0.885
5.001 6.481 -0.182
Sm Se S Si
8 4 3 1
Direct
0.243 0.730 0.486 Sm
0.243 0.730 0.987 Sm
0.744 0.730 0.987 Sm
0.256 0.270 0.013 Sm
0.757 0.270 0.514 Sm
0.757 0.270 0.013 Sm
0.742 0.727 0.485 Sm
0.258 0.273 0.515 Sm
0.500 0.000 0.000 Se
0.000 0.000 0.000 Se
0.000 0.000 0.500 Se
0.500 0.000 0.500 Se
0.500 0.500 0.500 S
0.500 0.500 0.000 S
0.000 0.500 0.500 S
0.000 0.500 0.000 Si
```

size of the total moment	0.00	Bohr magnetons per cell
SG	No. 166
DOS at the Fermi energy	5.165	states/eV/f.u.
calculated density	6.87	g/cm3
formation energy from raw total energies	-28.8	eV/f.u.